Entry P
The following is a DFT calculation (PBE) of a geometry-optimized CdSeIN2 structure.

a = 4.390 Å, b = 4.390 Å, c = 6.140 Å
α = 90.00°, β = 90.00°, γ = 90.00°
Site moments in Bohr magnetons follow the coordinates.
Fractional positions:
1 I 0.500 0.500 0.500  0.07
2 N 0.000 0.500 0.000  1.32
3 N 0.500 0.000 0.000  1.32
4 Se 0.000 0.000 0.500  0.10
5 Cd 0.000 0.000 0.000  0.06

Output
crystal system	tetragonal
calculated volume	23.7	Å³/atom
spin magnetization	4.228	μB/f.u.

=====

Entry Q
The following is a DFT calculation (PBE) of a geometry-optimized CdSeIN2 structure.

a = 3.996 Å, b = 3.996 Å, c = 6.476 Å
α = 90.00°, β = 90.00°, γ = 90.00°
Fractional positions:
1 I 0.000 0.000 0.000
2 N 0.000 0.500 0.000
3 N 0.500 0.000 0.000
4 Se 0.000 0.000 0.500
5 Cd 0.500 0.500 0.500

Output
crystal system	tetragonal
calculated volume	20.7	Å³/atom
spin magnetization	0.000	μB/f.u.

=====

Entry R
The following is a DFT calculation (PBE) of a geometry-optimized CdSeIN2 structure.

a = 4.039 Å, b = 4.039 Å, c = 7.644 Å
α = 90.00°, β = 90.00°, γ = 90.00°
Site moments in Bohr magnetons follow the coordinates.
Fractional positions:
1 I 0.000 0.000 0.500  0.00
2 N 0.000 0.500 0.000  0.61
3 N 0.500 0.000 0.000  0.61
4 Se 0.000 0.000 0.000  0.04
5 Cd 0.500 0.500 0.500  0.00

Output
crystal system	tetragonal
calculated volume	24.9	Å³/atom
spin magnetization	1.757	μB/f.u.

=====

Entry S
The following is a DFT calculation (PBE) of a geometry-optimized CdSeIN2 structure.

a = 4.364 Å, b = 4.364 Å, c = 6.693 Å
α = 90.00°, β = 90.00°, γ = 90.00°
Site moments in Bohr magnetons follow the coordinates.
Fractional positions:
1 I 0.000 0.000 0.500  0.05
2 N 0.000 0.500 0.000  1.29
3 N 0.500 0.000 0.000  1.29
4 Se 0.500 0.500 0.500  0.14
5 Cd 0.000 0.000 0.000  0.05

Output
crystal system	tetragonal
calculated volume	25.5	Å³/atom
spin magnetization	4.194	μB/f.u.

=====

Result of the stability comparison: entry S is the least stable of them.

=====

Entry P
The following is a DFT calculation (PBE) of a geometry-optimized CdSeI2N structure.

a = 6.099 Å, b = 6.099 Å, c = 3.751 Å
α = 90.00°, β = 90.00°, γ = 90.00°
Fractional positions:
1 I 0.000 0.500 0.000
2 I 0.500 0.000 0.000
3 N 0.000 0.000 0.500
4 Se 0.000 0.000 0.000
5 Cd 0.500 0.500 0.500

Output
crystal system	tetragonal
calculated volume	27.9	Å³/atom
spin magnetization	0.000	μB/f.u.

=====

Entry Q
The following is a DFT calculation (PBE) of a geometry-optimized CdSeI2N structure.

a = 5.962 Å, b = 5.962 Å, c = 4.081 Å
α = 90.00°, β = 90.00°, γ = 90.00°
Fractional positions:
1 I 0.000 0.500 0.000
2 I 0.500 0.000 0.000
3 N 0.000 0.000 0.500
4 Se 0.500 0.500 0.500
5 Cd 0.000 0.000 0.000

Output
crystal system	tetragonal
calculated volume	29.0	Å³/atom
spin magnetization	0.000	μB/f.u.

=====

Result of the stability comparison: entry Q is the least stable of them.